Computed, not measured: SrPr3Al8 after structural relaxation at the PBE level of DFT.

* ΔH_f (0 K): -0.425 eV per atom
* calculated total energy: -4.26 eV per atom

abc: 5.7363 5.7363 9.9631
angles: 73.27 73.27 60.00
Last column: nearest neighbours and their distance in Å.
Fractional positions:
Al (0.4383, 0.4383, 0.1829)  6 Al 2.84-2.90
Pr (0.3750, 0.3750, 0.8749)  12 Al 3.33-3.36, 4 Pr 3.53-3.55
Al (0.4383, 0.9405, 0.1829)  6 Al 2.84-2.90
Al (0.9370, 0.9370, 0.6915)  6 Al 2.85-2.90
Pr (0.9986, 0.9986, 0.0042)  12 Al 3.32-3.37, 1 Sr 3.49, 3 Pr 3.53
Al (0.6873, 0.6873, 0.9382)  6 Al 2.84-2.85
Sr (0.8749, 0.8749, 0.3753)  12 Al 3.36-3.41, 4 Pr 3.49-3.50
Al (0.4346, 0.9370, 0.6915)  6 Al 2.85-2.90
Al (0.1876, 0.1876, 0.4373)  6 Al 2.90
Al (0.9370, 0.4346, 0.6915)  6 Al 2.85-2.90
Pr (0.5010, 0.5010, 0.4969)  12 Al 3.36-3.40, 3 Sr 3.50, 1 Pr 3.55
Al (0.9405, 0.4383, 0.1829)  6 Al 2.84-2.90

=====

Computed, not measured: Sm2Tm3Al3 after structural relaxation at the PBE level of DFT.

* energy relative to the lowest polymorph listed for this composition: 0.09 eV per formula unit
* ΔH_f (0 K): -0.262 eV per atom
* calculated total energy: -4.52 eV per atom

abc: 4.7774 4.7876 8.8487
angles: 90.00 90.00 90.00
Last column: nearest neighbours and their distance in Å.
Fractional positions:
Tm (0.5000, 0.5000, 0.7224)  6 Al 3.10-3.43, 4 Sm 3.38, 2 Tm 3.43
Tm (0.5000, 0.5000, 0.2776)  6 Al 3.10-3.43, 4 Sm 3.38, 2 Tm 3.43
Al (0.0000, 0.5000, 0.5000)  4 Tm 3.10, 4 Sm 3.17, 4 Al 3.38
Al (0.0000, 0.5000, 0.0000)  4 Sm 3.35, 8 Tm 3.38-3.43
Al (0.5000, 0.0000, 0.5000)  4 Tm 3.10, 4 Sm 3.17, 4 Al 3.38
Tm (0.5000, 0.0000, 0.0000)  4 Sm 3.35, 4 Al 3.38, 4 Tm 3.43
Sm (0.0000, 0.0000, 0.2649)  6 Al 3.17-3.35, 6 Tm 3.35-3.38
Sm (0.0000, 0.0000, 0.7351)  6 Al 3.17-3.35, 6 Tm 3.35-3.38

=====

Computed, not measured: K2TaMo after structural relaxation at the PBE level of DFT.

* energy relative to the lowest polymorph listed for this composition: 2.51 eV per formula unit
* ΔH_f (0 K): 1.402 eV per atom
* calculated total energy: -4.82 eV per atom

abc: 2.8319 2.8319 12.8570
angles: 90.00 90.00 113.24
Last column: nearest neighbours and their distance in Å.
Fractional positions:
K (0.0000, 0.0000, 0.4916)  6 K 2.83-3.12
Mo (0.5000, 0.5000, 0.2500)  6 Mo 2.83-3.12
Ta (0.5000, 0.5000, 0.7500)  6 Ta 2.83-3.12
K (0.0000, 0.0000, 0.0084)  6 K 2.83-3.12

=====

Q: What is the calculated total energy in the first record?
A: -4.26 eV per atom